[1]
Entry from Alexandria via LeMat-Bulk: a relaxed ReMo2H crystal (PBE-GGA).

V   220.4 Å³ per cell
Symmetry   Fm-3m, No. 225

Cell: 6.0407 6.0407 6.0407 Å, 90.00 90.00 90.00°
Sites, in units of the cell vectors:
Re1 0.0000 0.0000 0.0000
Re2 0.0000 0.5000 0.5000
Re3 0.5000 0.0000 0.5000
Re4 0.5000 0.5000 0.0000
Mo1 0.2500 0.2500 0.2500
Mo2 0.2500 0.2500 0.7500
Mo3 0.2500 0.7500 0.2500
Mo4 0.2500 0.7500 0.7500
Mo5 0.7500 0.2500 0.2500
Mo6 0.7500 0.2500 0.7500
Mo7 0.7500 0.7500 0.2500
Mo8 0.7500 0.7500 0.7500
H1 0.0000 0.0000 0.5000
H2 0.0000 0.5000 0.0000
H3 0.5000 0.0000 0.0000
H4 0.5000 0.5000 0.5000



[2]
Entry from Alexandria via LeMat-Bulk: a relaxed TbSm7Dy4 crystal (PBE-GGA).

V   402.5 Å³ per cell
Symmetry   C2/m, No. 12
E_form   220.9 meV per atom

Cell: 8.5909 8.5909 9.3515 Å, 114.47 114.47 40.54°
Sites, in units of the cell vectors:
Tb1 0.0000 0.0000 0.0000
Sm1 0.0831 0.0831 0.4440
Sm2 0.2093 0.2093 0.2320
Sm3 0.2124 0.2124 0.8805
Sm4 0.5000 0.5000 0.0000
Sm5 0.7876 0.7876 0.1195
Sm6 0.7907 0.7907 0.7680
Sm7 0.9169 0.9169 0.5560
Dy1 0.3279 0.3279 0.6123
Dy2 0.4274 0.4274 0.3015
Dy3 0.5726 0.5726 0.6985
Dy4 0.6721 0.6721 0.3877



[3]
Entry from Alexandria via LeMat-Bulk: a relaxed KTaCl2 crystal (PBE-GGA).

V   291.4 Å³ per cell
Symmetry   R-3m, No. 166
Raw formation energy   -0.335 eV per atom

Cell: 3.3179 3.3179 30.5682 Å, 90.00 90.00 120.00°
Sites, in units of the cell vectors:
K1 0.0000 0.0000 0.0000
K2 0.3333 0.6667 0.6667
K3 0.6667 0.3333 0.3333
Ta1 0.0000 0.0000 0.5000
Ta2 0.3333 0.6667 0.1667
Ta3 0.6667 0.3333 0.8333
Cl1 0.0000 0.0000 0.1090
Cl2 0.0000 0.0000 0.8910
Cl3 0.3333 0.6667 0.5576
Cl4 0.3333 0.6667 0.7757
Cl5 0.6667 0.3333 0.2243
Cl6 0.6667 0.3333 0.4424



[4]
Entry from Alexandria via LeMat-Bulk: a relaxed AcTb8Y4 crystal (PBE-GGA).

V   486.3 Å³ per cell
Symmetry   R-3m, No. 166
E_form   538.5 meV per atom

Cell: 7.8638 7.8638 7.8638 Å, 90.09 90.09 90.09°
Sites, in units of the cell vectors:
Ac1 0.0000 0.0000 0.0000
Tb1 0.2620 0.7370 0.7370
Tb2 0.2628 0.2628 0.2628
Tb3 0.2630 0.2630 0.7380
Tb4 0.2630 0.7380 0.2630
Tb5 0.7370 0.2619 0.7370
Tb6 0.7370 0.7370 0.2619
Tb7 0.7372 0.7372 0.7372
Tb8 0.7381 0.2630 0.2630
Y1 0.0000 0.0000 0.5000
Y2 0.0000 0.5000 0.0000
Y3 0.5000 0.0000 0.0000
Y4 0.5000 0.5000 0.5000



[5]
Entry from Alexandria via LeMat-Bulk: a relaxed AlCo2Bi crystal (PBE-GGA).

V   299.1 Å³ per cell
Symmetry   I-42d, No. 122
E_form   456.6 meV per atom

Cell: 4.2171 4.2171 16.8161 Å, 90.00 90.00 90.00°
Sites, in units of the cell vectors:
Al1 0.0000 0.0000 0.0000
Al2 0.0000 0.5000 0.2500
Al3 0.5000 0.0000 0.7500
Al4 0.5000 0.5000 0.5000
Co1 0.1296 0.2500 0.1250
Co2 0.2500 0.6296 0.3750
Co3 0.2500 0.8704 0.8750
Co4 0.3704 0.2500 0.6250
Co5 0.6296 0.7500 0.6250
Co6 0.7500 0.1296 0.8750
Co7 0.7500 0.3704 0.3750
Co8 0.8704 0.7500 0.1250
Bi1 0.0000 0.0000 0.5000
Bi2 0.0000 0.5000 0.7500
Bi3 0.5000 0.0000 0.2500
Bi4 0.5000 0.5000 0.0000



[6]
Entry from Alexandria via LeMat-Bulk: a relaxed Nd5MgHg crystal (PBE-GGA).

V   454.3 Å³ per cell
Symmetry   C2/c, No. 15
E_form   19.2 meV per atom

Cell: 7.8614 7.8614 8.6401 Å, 107.84 107.84 102.58°
Sites, in units of the cell vectors:
Nd1 0.0793 0.9207 0.7500
Nd2 0.2377 0.5826 0.8994
Nd3 0.2397 0.3454 0.1514
Nd4 0.3454 0.2397 0.6514
Nd5 0.4174 0.7623 0.6006
Nd6 0.5826 0.2377 0.3994
Nd7 0.6546 0.7603 0.3486
Nd8 0.7603 0.6546 0.8486
Nd9 0.7623 0.4174 0.1006
Nd10 0.9207 0.0793 0.2500
Mg1 0.1825 0.8175 0.2500
Mg2 0.8175 0.1825 0.7500
Hg1 0.0000 0.5000 0.5000
Hg2 0.5000 0.0000 0.0000



| no. | total DFT energy (no corrections) (eV per cell) |
| --- | --- |
| 1 | -138.0 |
| 2 | -53.4 |
| 3 | -54.0 |
| 4 | -60.0 |
| 5 | -80.0 |
| 6 | -51.2 |